8
Lattice="5.3525 0.0000 0.0000 2.6763 4.6354 0.0000 2.6763 1.5451 8.7779" Properties=species:S:1:pos:R:3 comment="PrDy2ErIn4 (PBE, optimized geometry)" formation_enthalpy_0k_ev_per_atom=-0.460 energy_ev_per_atom=-4.15 pbc="T T T"
Pr 0.0000 0.0000 0.0000
Dy 8.0288 4.6354 6.5644
Dy 2.6763 1.5451 2.2135
Er 5.3525 3.0903 4.3889
In 5.3525 3.0903 7.6263
In 8.0288 4.6354 3.3406
In 2.6763 1.5451 5.4373
In 5.3525 3.0903 1.1515